# 1
# Th2TcCl | Alexandria via LeMat-Bulk | PBE | relaxed
data_Th2TcCl
_chemical_formula_sum 'Th6 Tc3 Cl3'
_cell_length_a 4.1284
_cell_length_b 4.1284
_cell_length_c 23.1087
_cell_angle_alpha 90.00
_cell_angle_beta 90.00
_cell_angle_gamma 120.00
_space_group_name_H-M_alt 'R -3 m'
_space_group_IT_number 166
_space_group_name_Hall '-R 3 2"'
loop_
_atom_site_label
_atom_site_fract_x
_atom_site_fract_y
_atom_site_fract_z
Th1 0.0000 0.0000 0.2309
Tc1 0.0000 0.0000 0.5000
Cl1 0.0000 0.0000 0.0000
# ΔE to the lowest computed polymorph, meV per atom: 2
# E, eV per atom: -7.4842
# Formation energy (no corrections), eV/atom: -0.721

---

# 2
# TcTeSe2 | Alexandria via LeMat-Bulk | PBE | relaxed
data_TcTeSe2
_chemical_formula_sum 'Tc1 Te1 Se2'
_cell_length_a 4.8071
_cell_length_b 4.8071
_cell_length_c 3.3209
_cell_angle_alpha 90.00
_cell_angle_beta 90.00
_cell_angle_gamma 90.00
_space_group_name_H-M_alt 'P 4/m m m'
_space_group_IT_number 123
_space_group_name_Hall '-P 4 2'
loop_
_atom_site_label
_atom_site_fract_x
_atom_site_fract_y
_atom_site_fract_z
Tc1 0.0000 0.0000 0.0000
Te1 0.5000 0.5000 0.0000
Se1 0.0000 0.5000 0.5000
# E, eV per atom: -4.4719
# Formation energy (no corrections), eV/atom: 0.647

---

# 3
# TcMo2Ru | Alexandria via LeMat-Bulk | PBE | relaxed
data_TcMo2Ru
_chemical_formula_sum 'Tc1 Mo2 Ru1'
_cell_length_a 2.7982
_cell_length_b 3.8563
_cell_length_c 5.5970
_cell_angle_alpha 90.00
_cell_angle_beta 90.00
_cell_angle_gamma 90.00
_space_group_name_H-M_alt 'P m m m'
_space_group_IT_number 47
_space_group_name_Hall '-P 2 2'
loop_
_atom_site_label
_atom_site_fract_x
_atom_site_fract_y
_atom_site_fract_z
Tc1 0.0000 0.0000 0.0000
Mo1 0.5000 0.5000 0.2507
Ru1 0.0000 0.0000 0.5000
# ΔE to the lowest computed polymorph, meV per atom: 11
# E_form, eV/atom: 0.113
# E, eV per atom: -10.2130

---

# 4
# ZrAlSi2 | Alexandria via LeMat-Bulk | PBE | relaxed
data_ZrAlSi2
_chemical_formula_sum 'Zr4 Al4 Si8'
_cell_length_a 5.2919
_cell_length_b 9.2264
_cell_length_c 5.4220
_cell_angle_alpha 90.00
_cell_angle_beta 90.00
_cell_angle_gamma 90.00
_space_group_name_H-M_alt 'P n a 21'
_space_group_IT_number 33
_space_group_name_Hall 'P 2c -2n'
loop_
_atom_site_label
_atom_site_fract_x
_atom_site_fract_y
_atom_site_fract_z
Zr1 0.1279 0.1085 0.0000
Al1 0.1221 0.3755 0.2557
Si1 0.1133 0.3733 0.7333
Si2 0.1629 0.1353 0.5018
# E, eV per atom: -6.1547
# Formation energy (no corrections), eV/atom: -0.371

---

# 5
# PuHgO | Alexandria via LeMat-Bulk | PBE | relaxed
data_PuHgO
_chemical_formula_sum 'Pu2 Hg2 O2'
_cell_length_a 4.0119
_cell_length_b 4.0119
_cell_length_c 7.7043
_cell_angle_alpha 90.00
_cell_angle_beta 90.00
_cell_angle_gamma 90.00
_space_group_name_H-M_alt 'P 4/n m m'
_space_group_IT_number 129
loop_
_space_group_symop_operation_xyz
'x,y,z'
'-x,-y,-z'
'-y+1/2,x,z'
'y+1/2,-x,-z'
'-x+1/2,-y+1/2,z'
'x+1/2,y+1/2,-z'
'y,-x+1/2,z'
'-y,x+1/2,-z'
'x+1/2,-y,-z'
'-x+1/2,y,z'
'-y,-x,-z'
'y,x,z'
'-x,y+1/2,-z'
'x,-y+1/2,z'
'y+1/2,x+1/2,-z'
'-y+1/2,-x+1/2,z'
loop_
_atom_site_label
_atom_site_fract_x
_atom_site_fract_y
_atom_site_fract_z
Pu1 0.2500 0.2500 0.1454
Hg1 0.2500 0.2500 0.5986
O1 0.2500 0.7500 0.0000
# E, eV per atom: -8.3174
# Formation energy (no corrections), eV/atom: -1.787

---

# 6
# Ac3Ga4Pd7 | Alexandria via LeMat-Bulk | PBE | relaxed
data_Ac3Ga4Pd7
_chemical_formula_sum 'Ac6 Ga8 Pd14'
_cell_length_a 16.4077
_cell_length_b 4.4031
_cell_length_c 9.8190
_cell_angle_alpha 90.00
_cell_angle_beta 125.55
_cell_angle_gamma 90.00
_space_group_name_H-M_alt 'C 1 2/m 1'
_space_group_IT_number 12
_space_group_name_Hall '-C 2y'
loop_
_atom_site_label
_atom_site_fract_x
_atom_site_fract_y
_atom_site_fract_z
Ac1 0.0000 0.0000 0.0000
Ac2 0.1732 0.5000 0.6802
Ga1 0.1253 0.0000 0.3978
Ga2 0.1748 0.5000 0.0253
Pd1 0.0000 0.0000 0.5000
Pd2 0.0086 0.5000 0.2805
Pd3 0.1268 0.0000 0.8588
Pd4 0.1885 0.5000 0.3130
# E_form, eV/atom: -0.788
# E, eV per atom: -5.1298

---

# 7
# VPdS2 | Alexandria via LeMat-Bulk | PBE | relaxed
data_VPdS2
_chemical_formula_sum 'V4 Pd4 S8'
_cell_length_a 6.5367
_cell_length_b 6.5367
_cell_length_c 6.0255
_cell_angle_alpha 90.00
_cell_angle_beta 90.00
_cell_angle_gamma 90.00
_space_group_name_H-M_alt 'I 4/m c m'
_space_group_IT_number 140
_space_group_name_Hall '-I 4 2c'
loop_
_atom_site_label
_atom_site_fract_x
_atom_site_fract_y
_atom_site_fract_z
V1 0.0000 0.5000 0.2500
Pd1 0.0000 0.0000 0.2500
S1 0.1830 0.3170 0.0000
# E, eV per atom: -6.0232
# Formation energy (no corrections), eV/atom: -0.382

---

# 8
# ZrFeNi2 | Alexandria via LeMat-Bulk | PBE | relaxed
data_ZrFeNi2
_chemical_formula_sum 'Zr1 Fe1 Ni2'
_cell_length_a 3.1692
_cell_length_b 3.1692
_cell_length_c 5.5521
_cell_angle_alpha 90.00
_cell_angle_beta 90.00
_cell_angle_gamma 90.00
_space_group_name_H-M_alt 'P 4 m m'
_space_group_IT_number 99
_space_group_name_Hall 'P 4 -2'
loop_
_atom_site_label
_atom_site_fract_x
_atom_site_fract_y
_atom_site_fract_z
Zr1 0.0000 0.0000 0.0000
Fe1 0.5000 0.5000 0.2989
Ni1 0.0000 0.0000 0.5014
Ni2 0.5000 0.5000 0.7376
# E_form, eV/atom: -0.119
# E, eV per atom: -7.2620

---

Number 1: calculated density 8.7 g/cm³. Number 2: calculated density 8.3 g/cm³. Number 3: calculated density 10.7 g/cm³. Number 4: calculated density 4.4 g/cm³. Number 5: calculated density 12.3 g/cm³. Number 6: calculated density 9.8 g/cm³. Number 7: calculated density 5.7 g/cm³. Number 8: calculated density 7.9 g/cm³.